The following is a DFT calculation (PBE-GGA) of a relaxed Tb2PrDy2Mg crystal.

**Energy**: -4.041 eV per atom
**Calculated formation energy**: 0.098 eV per atom
**ρ**: 7.03 g/cm3

Structure (CIF):
```
data_Tb2PrDy2Mg
_chemical_formula_sum 'Tb4 Pr2 Dy4 Mg2'
_symmetry_space_group_name_H-M 'I m m m'
_symmetry_Int_Tables_number 71
_symmetry_space_group_name_Hall '-I 2 2'
_cell_length_a 3.6827
_cell_length_b 5.5587
_cell_length_c 18.6458
_cell_angle_alpha 90.00
_cell_angle_beta 90.00
_cell_angle_gamma 90.00
loop_
_atom_site_label
_atom_site_fract_x
_atom_site_fract_y
_atom_site_fract_z
Tb1 0.0000 0.0000 0.1835
Pr1 0.0000 0.5000 0.5000
Dy1 0.0000 0.0000 0.3648
Mg1 0.0000 0.5000 0.0000
```